(1)
Entry from the Alexandria database: a relaxed LiPCl2 crystal (PBE).

Calculated values
Uncorrected formation energy, eV/atom: -0.292
Raw total energy, eV per atom: -3.046
Excess energy over the best structure of this formula in the dataset, eV/atom: 0.367
Spin magnetization, μB per cell: 0.0
Volume, Å³/atom: 19.17

abc: 3.239 3.239 7.306
angles: 90.00 90.00 90.00
Space group P4mm (No. 99)
One atom of each set of equivalent atoms:
Li (0.000, 0.000, 0.000) x1
P (0.500, 0.500, 0.269) x1
Cl (0.000, 0.000, 0.510) x1
Cl (0.500, 0.500, 0.920) x1

(2)
Entry from the Alexandria database: a relaxed KCeY4S8 crystal (PBE).

Calculated values
Uncorrected formation energy, eV/atom: -1.910
Raw total energy, eV per atom: -6.618
Spin magnetization, μB per cell: 3.0
Volume, Å³/atom: 28.67

abc: 8.2214 8.2214 20.5722
angles: 90.00 90.00 120.00
Space group R3m (No. 160, hexagonal axes)
One atom of each set of equivalent atoms:
K (0.0000, 0.0000, 0.0000) x3
Ce (0.0000, 0.0000, 0.6309) x3
Y (0.0000, 0.0000, 0.2529) x3
Y (0.1724, 0.3448, 0.4594) x9
S (0.0000, 0.0000, 0.3846) x3
S (0.0000, 0.0000, 0.8603) x3
S (0.0411, 0.5205, 0.3854) x9
S (0.1740, 0.3481, 0.2057) x9

(3)
Entry from the Alexandria database: a relaxed CrBAu crystal (PBE).

Calculated values
Raw total energy, eV per atom: -6.322
Spin magnetization, μB per cell: 0.0
Volume, Å³/atom: 12.25

abc: 2.931 2.912 8.614
angles: 90.00 90.00 90.00
Space group Amm2 (No. 38)
One atom of each set of equivalent atoms:
Cr (0.000, 0.000, 0.000) x2
B (0.500, 0.000, 0.464) x2
Au (0.500, 0.000, 0.734) x2

(4)
Entry from the Alexandria database: a relaxed Rb2URhS6 crystal (PBE).

Calculated values
Uncorrected formation energy, eV/atom: -0.865
Raw total energy, eV per atom: -5.398
Spin magnetization, μB per cell: 0.0
Volume, Å³/atom: 23.87

abc: 6.953 6.972 9.847
angles: 90.00 90.00 90.00
Space group Immm (No. 71)
One atom of each set of equivalent atoms:
Rb (0.000, 0.000, 0.250) x4
U (0.000, 0.500, 0.000) x2
Rh (0.000, 0.500, 0.500) x2
S (0.000, 0.500, 0.257) x4
S (0.243, 0.257, 0.500) x8

(5)
Entry from the Alexandria database: a relaxed La3CuRh crystal (PBE).

Calculated values
Raw total energy, eV per atom: -5.646
Excess energy over the best structure of this formula in the dataset, eV/atom: 0.000
Spin magnetization, μB per cell: 0.0
Volume, Å³/atom: 28.16

abc: 9.108 7.468 8.612
angles: 90.00 105.98 90.00
Space group P2_1/c (No. 14)
One atom of each set of equivalent atoms:
La (0.046, 0.010, 0.224) x4
La (0.289, 0.652, 0.112) x4
La (0.346, 0.174, 0.999) x4
Cu (0.417, 0.537, 0.840) x4
Rh (0.065, 0.191, 0.522) x4

(6)
Entry from the Alexandria database: a relaxed Nd6ZnBr8 crystal (PBE).

Calculated values
Uncorrected formation energy, eV/atom: -1.370
Raw total energy, eV per atom: -4.255
Spin magnetization, μB per cell: 0.0
Volume, Å³/atom: 33.71

abc: 7.3165 7.3165 32.7170
angles: 90.00 90.00 120.00
Space group R-3 (No. 148, hexagonal axes)
One atom of each set of equivalent atoms:
Nd (0.0001, 0.3161, 0.0522) x18
Zn (0.0000, 0.0000, 0.0000) x3
Br (0.0000, 0.0000, 0.3333) x6
Br (0.0001, 0.3371, 0.8925) x18

(7)
Entry from the Alexandria database: a relaxed Zr3TlV crystal (PBE).

Calculated values
Raw total energy, eV per atom: -6.892
Excess energy over the best structure of this formula in the dataset, eV/atom: 0.000
Spin magnetization, μB per cell: 0.0
Volume, Å³/atom: 23.69

abc: 4.911 4.911 4.911
angles: 90.00 90.00 90.00
Space group Pm-3m (No. 221)
One atom of each set of equivalent atoms:
Zr (0.000, 0.000, 0.500) x3
Tl (0.500, 0.500, 0.500) x1
V (0.000, 0.000, 0.000) x1

(8)
Entry from the Alexandria database: a relaxed UHg3 crystal (PBE).

Calculated values
Raw total energy, eV per atom: -2.886
Spin magnetization, μB per cell: 2.2
Volume, Å³/atom: 23.24

abc: 3.1484 3.1484 10.8294
angles: 90.00 90.00 120.00
Space group P-6m2 (No. 187)
One atom of each set of equivalent atoms:
U (0.0000, 0.0000, 0.0000) x1
Hg (0.0000, 0.0000, 0.5000) x1
Hg (0.6667, 0.3333, 0.2532) x2

(9)
Entry from the Alexandria database: a relaxed HfTiBi2 crystal (PBE).

Calculated values
Raw total energy, eV per atom: -6.384
Excess energy over the best structure of this formula in the dataset, eV/atom: 0.000
Spin magnetization, μB per cell: 0.4
Volume, Å³/atom: 25.10

abc: 4.0078 4.0078 21.6526
angles: 90.00 90.00 120.00
Space group R3m (No. 160, hexagonal axes)
One atom of each set of equivalent atoms:
Hf (0.0000, 0.0000, 0.0000) x3
Ti (0.0000, 0.0000, 0.1709) x3
Bi (0.0000, 0.0000, 0.5800) x3
Bi (0.0000, 0.0000, 0.7563) x3

(10)
Entry from the Alexandria database: a relaxed SrHoIn2 crystal (PBE).

Calculated values
Raw total energy, eV per atom: -3.373
Spin magnetization, μB per cell: 0.0
Volume, Å³/atom: 29.74

abc: 3.881 3.881 7.899
angles: 90.00 90.00 90.00
Space group P4/mmm (No. 123)
One atom of each set of equivalent atoms:
Sr (0.000, 0.000, 0.000) x1
Ho (0.000, 0.000, 0.500) x1
In (0.500, 0.500, 0.278) x2

(11)
Entry from the Alexandria database: a relaxed Pr2NiGe3 crystal (PBE).

Calculated values
Raw total energy, eV per atom: -5.606
Excess energy over the best structure of this formula in the dataset, eV/atom: 0.033
Spin magnetization, μB per cell: 0.0
Volume, Å³/atom: 21.85

abc: 4.254 4.265 7.225
angles: 90.00 90.00 90.00
Space group Pmm2 (No. 25)
One atom of each set of equivalent atoms:
Pr (0.000, 0.000, 0.000) x1
Pr (0.500, 0.000, 0.499) x1
Ni (0.500, 0.500, 0.181) x1
Ge (0.000, 0.500, 0.313) x1
Ge (0.000, 0.500, 0.663) x1
Ge (0.500, 0.500, 0.859) x1

(12)
Entry from the Alexandria database: a relaxed Cs2ScAlCl6 crystal (PBE).

Calculated values
Uncorrected formation energy, eV/atom: -1.763
Raw total energy, eV per atom: -4.049
Spin magnetization, μB per cell: 0.0
Volume, Å³/atom: 32.21

abc: 10.881 10.881 10.881
angles: 90.00 90.00 90.00
Space group Fm-3m (No. 225)
One atom of each set of equivalent atoms:
Cs (0.250, 0.250, 0.250) x8
Sc (0.000, 0.000, 0.000) x4
Al (0.000, 0.000, 0.500) x4
Cl (0.000, 0.000, 0.231) x24

(13)
Entry from the Alexandria database: a relaxed AlCI2N crystal (PBE).

Calculated values
Uncorrected formation energy, eV/atom: 1.015
Raw total energy, eV per atom: -3.864
Excess energy over the best structure of this formula in the dataset, eV/atom: 0.000
Spin magnetization, μB per cell: 0.2
Volume, Å³/atom: 27.39

abc: 7.157 7.157 2.674
angles: 90.00 90.00 90.00
Space group P4/mmm (No. 123)
One atom of each set of equivalent atoms:
Al (0.000, 0.000, 0.000) x1
C (0.500, 0.500, 0.500) x1
I (0.000, 0.500, 0.500) x2
N (0.500, 0.500, 0.000) x1

(14)
Entry from the Alexandria database: a relaxed K3Mn2CdCl9 crystal (PBE).

Calculated values
Uncorrected formation energy, eV/atom: -1.424
Raw total energy, eV per atom: -4.035
Spin magnetization, μB per cell: 10.0
Volume, Å³/atom: 26.81

abc: 7.2329 7.2329 8.8755
angles: 90.00 90.00 120.00
Space group P-3m1 (No. 164)
One atom of each set of equivalent atoms:
K (0.0000, 0.0000, 0.0000) x1
K (0.3333, 0.6667, 0.6717) x2
Mn (0.3333, 0.6667, 0.1624) x2
Cd (0.0000, 0.0000, 0.5000) x1
Cl (0.0000, 0.5000, 0.0000) x3
Cl (0.1704, 0.3408, 0.3267) x6